[1]
Here is an optimized crystal structure of LaCuAg from the Alexandria database. Energies are from PBE-GGA.

Cell lengths 4.5820, 4.5820, 3.8474 Å; angles 90.00, 90.00, 120.00 degrees
With the nearest neighbours (Å) after each atom.
Space group P-6m2 (No. 187)
Asymmetric unit:
La 0.0000 0.0000 0.0000 (multiplicity 1)  6 Cu 3.27, 6 Ag 3.27
Cu 0.3333 0.6667 0.5000 (multiplicity 1)  3 Ag 2.65
Ag 0.6667 0.3333 0.5000 (multiplicity 1)  3 Cu 2.65

Values from the calculation:
energy of formation	-0.221	eV/atom
distance to the lowest polymorph of the same formula	0.06	eV/f.u.

***

[2]
Here is an optimized crystal structure of TcSbTe2 from the Alexandria database. Energies are from PBE-GGA.

Cell lengths 3.4682, 3.4682, 28.0952 Å; angles 90.00, 90.00, 120.00 degrees
With the nearest neighbours (Å) after each atom.
Space group R-3m (No. 166, hexagonal axes)
Asymmetric unit:
Tc 0.0000 0.0000 0.0000 (multiplicity 3)  6 Te 2.73
Sb 0.0000 0.0000 0.5000 (multiplicity 3)  6 Sb 3.47, 6 Te 3.47
Te 0.0000 0.0000 0.2675 (multiplicity 6)  3 Tc 2.73

Values from the calculation:
energy relative to the elements, uncorrected	0.144	eV per atom

***

[3]
Here is an optimized crystal structure of RbCaTa2 from the Alexandria database. Energies are from PBE-GGA.

Cell lengths 7.5625, 7.5625, 7.5625 Å; angles 90.00, 90.00, 90.00 degrees
With the nearest neighbours (Å) after each atom.
Space group Fm-3m (No. 225)
Asymmetric unit:
Rb 0.0000 0.0000 0.0000 (multiplicity 4)  8 Ta 3.27
Ca 0.0000 0.0000 0.5000 (multiplicity 4)  8 Ta 3.27
Ta 0.2500 0.2500 0.2500 (multiplicity 8)  4 Ca 3.27, 4 Rb 3.27

Values from the calculation:
energy of formation	2.158	eV/atom
distance to the lowest polymorph of the same formula	0.72	eV/f.u.

***

[4]
Here is an optimized crystal structure of CaZrPb4 from the Alexandria database. Energies are from PBE-GGA.

Cell lengths 9.0435, 9.0435, 9.0435 Å; angles 90.00, 90.00, 90.00 degrees
With the nearest neighbours (Å) after each atom.
Space group F-43m (No. 216)
Asymmetric unit:
Ca 0.0000 0.0000 0.0000 (multiplicity 4)  12 Pb 3.75, 4 Zr 3.92
Zr 0.2500 0.2500 0.2500 (multiplicity 4)  12 Pb 3.75, 4 Ca 3.92
Pb 0.1245 0.1245 0.6245 (multiplicity 16)  6 Pb 3.18-3.21

Values from the calculation:
energy of formation	0.173	eV/atom

***

[5]
Here is an optimized crystal structure of RbCd2Bi2 from the Alexandria database. Energies are from PBE-GGA.

Cell lengths 9.3702, 9.3702, 3.6046 Å; angles 90.00, 90.00, 90.00 degrees
With the nearest neighbours (Å) after each atom.
Space group P4/mbm (No. 127)
Asymmetric unit:
Rb 0.0000 0.0000 0.0000 (multiplicity 2)  2 Rb 3.60, 4 Cd 3.70, 8 Bi 3.94
Cd 0.1255 0.3745 0.0000 (multiplicity 4)  6 Bi 3.29-3.31, 3 Cd 3.33-3.60
Bi 0.1651 0.6651 0.5000 (multiplicity 4)  6 Cd 3.29-3.31, 2 Bi 3.60

Values from the calculation:
energy of formation	-0.086	eV/atom
distance to the lowest polymorph of the same formula	0.66	eV/f.u.

***

[6]
Here is an optimized crystal structure of La4Pr2NdTm from the Alexandria database. Energies are from PBE-GGA.

Cell lengths 6.1182, 6.1265, 7.6198 Å; angles 90.00, 90.02, 90.00 degrees
With the nearest neighbours (Å) after each atom.
Space group P2/m (No. 10)
Asymmetric unit:
La 0.0013 0.0000 0.2390 (multiplicity 2)  4 Pr 3.55-3.65, 2 Tm 3.56, 2 Nd 3.64-3.66, 2 La 3.64-3.98
La 0.4983 0.5000 0.2430 (multiplicity 2)  2 Tm 3.57-3.59, 4 Pr 3.58-3.64, 2 Nd 3.64, 2 La 3.70-3.92
Pr 0.0000 0.5000 0.5000 (multiplicity 1)  8 La 3.62-3.65, 2 Tm 3.81
Pr 0.5000 0.0000 0.0000 (multiplicity 1)  8 La 3.55-3.58, 2 Nd 3.81
Nd 0.5000 0.0000 0.5000 (multiplicity 1)  8 La 3.64-3.66, 2 Pr 3.81
Tm 0.0000 0.5000 0.0000 (multiplicity 1)  8 La 3.56-3.59, 2 Pr 3.81

Values from the calculation:
energy of formation	0.091	eV/atom

***

[7]
Here is an optimized crystal structure of Sc3SiH from the Alexandria database. Energies are from PBE-GGA.

Cell lengths 6.3489, 3.8151, 7.3776 Å; angles 90.00, 103.27, 90.00 degrees
With the nearest neighbours (Å) after each atom.
Space group P2_1/m (No. 11)
Asymmetric unit:
Sc 0.0795 0.2500 0.3498 (multiplicity 2)  1 H 2.11
Sc 0.2672 0.2500 0.9409 (multiplicity 2)  1 H 2.14
Sc 0.4042 0.7500 0.6315 (multiplicity 2)  2 H 2.43, 2 Si 2.72
Si 0.3054 0.7500 0.2125 (multiplicity 2)  7 Sc 2.72-3.01
H 0.1710 0.2500 0.6437 (multiplicity 2)  2 Sc 2.11-2.14

Values from the calculation:
distance to the lowest polymorph of the same formula	0.04	eV/f.u.

***

[8]
Here is an optimized crystal structure of TcBr2Cl from the Alexandria database. Energies are from PBE-GGA.

Cell lengths 3.5135, 3.5135, 27.0199 Å; angles 90.00, 90.00, 120.00 degrees
With the nearest neighbours (Å) after each atom.
Space group R3m (No. 160, hexagonal axes)
Asymmetric unit:
Tc 0.0000 0.0000 0.0000 (multiplicity 3)  3 Cl 2.48, 3 Br 2.55
Br 0.0000 0.0000 0.4974 (multiplicity 3)  9 Br 3.51-3.52, 3 Cl 3.75
Br 0.0000 0.0000 0.7241 (multiplicity 3)  3 Tc 2.55
Cl 0.0000 0.0000 0.2807 (multiplicity 3)  3 Tc 2.48

Values from the calculation:
energy relative to the elements, uncorrected	0.036	eV per atom
distance to the lowest polymorph of the same formula	1.48	eV/f.u.

***

[9]
Here is an optimized crystal structure of Sm5DyTmSc2 from the Alexandria database. Energies are from PBE-GGA.

Cell lengths 5.5072, 20.1616, 10.3788 Å; angles 90.00, 90.00, 90.00 degrees
With the nearest neighbours (Å) after each atom.
Space group Cmc2_1 (No. 36)
Asymmetric unit:
Sm 0.0000 0.0116 0.0000 (multiplicity 4)  2 Tm 3.27, 4 Sc 3.32-3.61, 2 Sm 3.63, 1 Dy 3.65
Sm 0.0000 0.2744 0.3031 (multiplicity 4)  1 Tm 3.03, 1 Sc 3.28, 2 Sm 3.34
Sm 0.0000 0.3013 0.6952 (multiplicity 4)  4 Sm 3.34-3.64, 2 Sc 3.41, 1 Tm 3.42, 2 Dy 3.42
Sm 0.0000 0.3820 0.0084 (multiplicity 4)  6 Sm 3.53-3.80, 4 Sc 3.57-3.58, 1 Dy 3.82
Sm 0.0000 0.4809 0.7278 (multiplicity 4)  2 Tm 3.14-3.35, 2 Sc 3.39
Dy 0.0000 0.1924 0.0002 (multiplicity 4)  2 Sc 3.24-3.41, 5 Sm 3.42-3.55, 2 Tm 3.47
Tm 0.0000 0.4073 0.4386 (multiplicity 4)  5 Sm 3.03-3.35
Sc 0.0000 0.1118 0.2888 (multiplicity 4)  9 Sm 3.28-3.61, 1 Dy 3.41
Sc 0.0000 0.1136 0.7278 (multiplicity 4)  1 Dy 3.24, 4 Sm 3.46-3.57, 2 Tm 3.54

Values from the calculation:
energy of formation	0.174	eV/atom

***

[10]
Here is an optimized crystal structure of CsLiPbS2 from the Alexandria database. Energies are from PBE-GGA.

Cell lengths 15.4883, 4.3507, 9.6101 Å; angles 90.00, 91.75, 90.00 degrees
With the nearest neighbours (Å) after each atom.
Space group C2/m (No. 12)
Asymmetric unit:
Cs 0.1657 0.0000 0.1786 (multiplicity 4)  5 S 3.54-3.55, 3 Li 3.70-3.90
Li 0.1965 0.0000 0.5619 (multiplicity 4)  4 S 2.49-2.51
Pb 0.0606 0.5000 0.7043 (multiplicity 4)  3 S 2.64-2.79
S 0.1433 0.5000 0.4677 (multiplicity 4)  3 Li 2.49-2.51, 1 Pb 2.64
S 0.1539 0.0000 0.8105 (multiplicity 4)  1 Li 2.50, 2 Pb 2.79

Values from the calculation:
energy relative to the elements, uncorrected	-0.959	eV per atom

***

[11]
Here is an optimized crystal structure of Er7CoBr12 from the Alexandria database. Energies are from PBE-GGA.

Cell lengths 14.6370, 14.6370, 10.3267 Å; angles 90.00, 90.00, 120.00 degrees
With the nearest neighbours (Å) after each atom.
Space group R-3 (No. 148, hexagonal axes)
Asymmetric unit:
Er 0.0000 0.0000 0.0000 (multiplicity 3)  6 Br 2.79
Er 0.0414 0.8812 0.3617 (multiplicity 18)  1 Co 2.55
Co 0.0000 0.0000 0.5000 (multiplicity 3)  6 Er 2.55
Br 0.0197 0.4346 0.1541 (multiplicity 18)  3 Er 2.87-3.13
Br 0.0466 0.8758 0.8386 (multiplicity 18)  3 Er 2.79-3.02

Values from the calculation:
energy relative to the elements, uncorrected	-1.555	eV per atom

***

[12]
Here is an optimized crystal structure of Cr3Mo2 from the Alexandria database. Energies are from PBE-GGA.

Cell lengths 2.8360, 2.8360, 29.6284 Å; angles 90.00, 90.00, 120.00 degrees
With the nearest neighbours (Å) after each atom.
Space group R-3m (No. 166, hexagonal axes)
Asymmetric unit:
Cr 0.0000 0.0000 0.0000 (multiplicity 3)  6 Mo 2.60, 6 Cr 2.84
Cr 0.0000 0.0000 0.1963 (multiplicity 6)  3 Cr 2.40, 3 Mo 2.62
Mo 0.0000 0.0000 0.4015 (multiplicity 6)  6 Cr 2.60-2.62, 6 Mo 2.84

Values from the calculation:
energy of formation	0.405	eV/atom
distance to the lowest polymorph of the same formula	0.23	eV/f.u.